Entry 1:
VASP calculation (PBE) on crystalline LaInGa4Ir at its relaxed geometry.

```
data_LaInGa4Ir
_symmetry_space_group_name_H-M 'P 1'
_symmetry_Int_Tables_number 1
_symmetry_space_group_name_Hall 'P 1'
_cell_length_a 4.536
_cell_length_b 4.536
_cell_length_c 7.033
_cell_angle_alpha 90.00
_cell_angle_beta 90.00
_cell_angle_gamma 90.00
loop_
_atom_site_label
_atom_site_fract_x
_atom_site_fract_y
_atom_site_fract_z
La1 0.000 0.000 0.000
In1 0.500 0.500 0.000
Ga1 0.000 0.500 0.313
Ga2 0.000 0.500 0.687
Ga3 0.500 0.000 0.313
Ga4 0.500 0.000 0.687
Ir1 0.000 0.000 0.500
```

Properties
As for the total energy: -4.63 eV/atom. The calculation puts the density at 8319 kg/m³. Its space group is P4/mmm (123).

---

Entry 2:
VASP calculation (PBE) on crystalline Pr2Dy2CBr4Cl at its relaxed geometry.

```
data_Pr2Dy2CBr4Cl
_symmetry_space_group_name_H-M 'P 1'
_symmetry_Int_Tables_number 1
_symmetry_space_group_name_Hall 'P 1'
_cell_length_a 9.272
_cell_length_b 9.272
_cell_length_c 8.230
_cell_angle_alpha 102.19
_cell_angle_beta 102.19
_cell_angle_gamma 24.28
loop_
_atom_site_label
_atom_site_fract_x
_atom_site_fract_y
_atom_site_fract_z
Pr1 0.002 0.002 0.286
Pr2 0.998 0.998 0.714
Dy1 0.364 0.364 0.429
Dy2 0.636 0.636 0.571
C1 0.500 0.500 0.500
Br1 0.168 0.168 0.831
Br2 0.174 0.174 0.341
Br3 0.826 0.826 0.659
Br4 0.832 0.832 0.169
Cl1 0.500 0.500 0.000
```

Properties
As for the total energy: -5.13 eV/atom. The calculation puts the density at 5693 kg/m³. Its space group is C2/m (12).

---

Entry 3:
VASP calculation (PBE) on crystalline CuTcSnPd at its relaxed geometry.

```
data_CuTcSnPd
_symmetry_space_group_name_H-M 'P 1'
_symmetry_Int_Tables_number 1
_symmetry_space_group_name_Hall 'P 1'
_cell_length_a 4.482
_cell_length_b 4.482
_cell_length_c 4.482
_cell_angle_alpha 60.00
_cell_angle_beta 60.00
_cell_angle_gamma 60.00
loop_
_atom_site_label
_atom_site_fract_x
_atom_site_fract_y
_atom_site_fract_z
Cu1 0.000 0.000 0.000
Tc1 0.500 0.500 0.500
Sn1 0.750 0.750 0.750
Pd1 0.250 0.250 0.250
```

Properties
As for the total energy: -5.69 eV/atom. The calculation puts the density at 10088 kg/m³. Its space group is F-43m (216).

---

Entry 4:
VASP calculation (PBE) on crystalline MgCu2Si at its relaxed geometry.

```
data_MgCu2Si
_symmetry_space_group_name_H-M 'P 1'
_symmetry_Int_Tables_number 1
_symmetry_space_group_name_Hall 'P 1'
_cell_length_a 6.059
_cell_length_b 6.059
_cell_length_c 6.059
_cell_angle_alpha 90.00
_cell_angle_beta 90.00
_cell_angle_gamma 90.00
loop_
_atom_site_label
_atom_site_fract_x
_atom_site_fract_y
_atom_site_fract_z
Mg1 0.000 0.000 0.000
Mg2 0.000 0.000 0.500
Mg3 0.000 0.500 0.000
Mg4 0.500 0.000 0.000
Cu1 0.263 0.263 0.263
Cu2 0.263 0.263 0.737
Cu3 0.263 0.737 0.263
Cu4 0.263 0.737 0.737
Cu5 0.737 0.263 0.263
Cu6 0.737 0.263 0.737
Cu7 0.737 0.737 0.263
Cu8 0.737 0.737 0.737
Si1 0.000 0.500 0.500
Si2 0.500 0.000 0.500
Si3 0.500 0.500 0.000
Si4 0.500 0.500 0.500
```

Properties
As for the total energy: -3.59 eV/atom. The calculation puts the density at 5360 kg/m³. Its space group is Pm-3m (221).

---

Entry 5:
VASP calculation (PBE) on crystalline YErGeBr2 at its relaxed geometry.

```
data_YErGeBr2
_symmetry_space_group_name_H-M 'P 1'
_symmetry_Int_Tables_number 1
_symmetry_space_group_name_Hall 'P 1'
_cell_length_a 4.125
_cell_length_b 4.125
_cell_length_c 10.126
_cell_angle_alpha 90.00
_cell_angle_beta 90.00
_cell_angle_gamma 120.00
loop_
_atom_site_label
_atom_site_fract_x
_atom_site_fract_y
_atom_site_fract_z
Y1 0.000 0.000 0.000
Er1 0.333 0.667 0.685
Ge1 0.667 0.333 0.841
Br1 0.000 0.000 0.512
Br2 0.333 0.667 0.176
```

Properties
As for the total energy: -5.25 eV/atom. The calculation puts the density at 5436 kg/m³. Its space group is P3m1 (156).

---

Entry 6:
VASP calculation (PBE) on crystalline PrGdBe2Si2 at its relaxed geometry.

```
data_PrGdBe2Si2
_symmetry_space_group_name_H-M 'P 1'
_symmetry_Int_Tables_number 1
_symmetry_space_group_name_Hall 'P 1'
_cell_length_a 3.928
_cell_length_b 3.928
_cell_length_c 8.389
_cell_angle_alpha 90.00
_cell_angle_beta 90.00
_cell_angle_gamma 120.00
loop_
_atom_site_label
_atom_site_fract_x
_atom_site_fract_y
_atom_site_fract_z
Pr1 0.000 0.000 0.000
Gd1 0.000 0.000 0.500
Be1 0.333 0.667 0.257
Be2 0.667 0.333 0.743
Si1 0.333 0.667 0.741
Si2 0.667 0.333 0.259
```

Properties
As for the total energy: -5.24 eV/atom. The calculation puts the density at 5515 kg/m³. Its space group is P-3m1 (164).

---

Entry 7:
VASP calculation (PBE) on crystalline Pr3Zn2Si4Pd2 at its relaxed geometry.

```
data_Pr3Zn2Si4Pd2
_symmetry_space_group_name_H-M 'P 1'
_symmetry_Int_Tables_number 1
_symmetry_space_group_name_Hall 'P 1'
_cell_length_a 12.939
_cell_length_b 12.939
_cell_length_c 12.939
_cell_angle_alpha 161.50
_cell_angle_beta 161.10
_cell_angle_gamma 26.57
loop_
_atom_site_label
_atom_site_fract_x
_atom_site_fract_y
_atom_site_fract_z
Pr1 0.000 0.000 0.000
Pr2 0.354 0.854 0.500
Pr3 0.646 0.146 0.500
Zn1 0.250 0.250 0.000
Zn2 0.750 0.750 0.000
Si1 0.191 0.691 0.500
Si2 0.452 0.452 0.000
Si3 0.548 0.548 0.000
Si4 0.809 0.309 0.500
Pd1 0.095 0.595 0.500
Pd2 0.905 0.405 0.500
```

Properties
As for the total energy: -5.19 eV/atom. The calculation puts the density at 6555 kg/m³. Its space group is Immm (71).

---

Entry 8:
VASP calculation (PBE) on crystalline U3AsP2 at its relaxed geometry.

```
data_U3AsP2
_symmetry_space_group_name_H-M 'P 1'
_symmetry_Int_Tables_number 1
_symmetry_space_group_name_Hall 'P 1'
_cell_length_a 3.972
_cell_length_b 3.972
_cell_length_c 9.776
_cell_angle_alpha 90.00
_cell_angle_beta 90.00
_cell_angle_gamma 120.00
loop_
_atom_site_label
_atom_site_fract_x
_atom_site_fract_y
_atom_site_fract_z
U1 0.000 0.000 0.000
U2 0.333 0.667 0.321
U3 0.667 0.333 0.679
As1 0.000 0.000 0.500
P1 0.333 0.667 0.838
P2 0.667 0.333 0.162
```

Properties
As for the total energy: -9.11 eV/atom. The calculation puts the density at 10578 kg/m³. Its space group is P-3m1 (164).